DFT (GGA+U) results for a relaxed structure of KScFeF6.

a = 5.655 Å, b = 9.543 Å, c = 5.636 Å
α = 90.00°, β = 90.34°, γ = 90.00°
Space group C2 (No. 5)
One atom of each set of equivalent atoms:
K (0.000, 0.000, 0.000) (multiplicity 2)
Sc (0.000, 0.333, 0.500) (multiplicity 2)
Fe (0.000, 0.671, 0.500) (multiplicity 2)
F (0.127, 0.497, 0.696) (multiplicity 4)
F (0.182, 0.191, 0.699) (multiplicity 4)
F (0.201, 0.810, 0.702) (multiplicity 4)

Values from the calculation:
- calculated volume (Å³/f.u.) = 152
- crystal system = monoclinic
- total energy (eV per atom) = -5.93
- total magnetization (Bohr magnetons per cell) = 8.00